The following is a GGA-PBE calculation of Dy3Sc3Tl2 after structural relaxation, from Alexandria via LeMat-Bulk.

Lattice parameters (Å, degrees): 4.6915 4.7066 9.3692 90.00 90.00 90.00
Site moments in Bohr magnetons follow the coordinates.
Atoms (fractional coordinates):
Dy1 0.5000 0.0000 0.5000  0.26
Dy2 0.0000 0.5000 0.0000  0.33
Dy3 0.0000 0.5000 0.5000  0.24
Sc1 0.5000 0.5000 0.7563  0.35
Sc2 0.5000 0.5000 0.2437  0.35
Sc3 0.5000 0.0000 0.0000  0.36
Tl1 0.0000 0.0000 0.7548  -0.01
Tl2 0.0000 0.0000 0.2452  -0.01

Computed properties:
Its distance to the lowest polymorph of the same formula is 0.00 eV per formula unit. The crystal system is orthorhombic. The calculation puts the energy of formation at -0.1754 eV per atom. Its theoretical density is 8.276 Mg/m³.

---

The following is a GGA-PBE calculation of Zn4MoW after structural relaxation, from Alexandria via LeMat-Bulk.

Lattice parameters (Å, degrees): 4.9214 4.9214 4.9214 60.00 60.00 60.00
Atoms (fractional coordinates):
Zn1 0.8752 0.3749 0.3749
Zn2 0.3749 0.3749 0.8752
Zn3 0.3749 0.8752 0.3749
Zn4 0.3749 0.3749 0.3749
Mo1 0.7500 0.7500 0.7500
W1 0.0000 0.0000 0.0000

Computed properties:
The crystal system is cubic. The calculation puts the energy of formation at 0.1007 eV per atom. Its theoretical density is 10.666 Mg/m³.

---

What is the energy of formation in the second record?
0.1007 eV per atom